SrAcAg4: optimized geometry, PBE.

Cell: 4.8977 7.8239 8.3487 Å, 90.00 90.00 90.00°
Space group Imm2 (No. 44)
Symmetry-distinct sites (fractional):
Sr 0.0000 0.0000 0.0000
Ac 0.0000 0.5000 0.9215
Ag 0.0000 0.1981 0.6254
Ag 0.0000 0.2955 0.2960

Values from the calculation:
Calculated volume (Å³/cell): 320
Energy of formation (eV per atom): -0.294
Density (g/cm3): 7.75
Offset from the most stable computed form (meV/atom): 0